Computed, not measured: a geometry-optimized HgPtCl2 structure at the PBE-GGA level of DFT.

Output
Formation energy without anion corrections   0.001 eV per atom
Space-group type   R-3m, No. 166
Polymorph energy (0 for the lowest one)   224 meV/atom
Crystal system   trigonal

POSCAR file:
```
HgPtCl2
1.0
1.884 1.088 9.402
-1.884 1.088 9.402
0.000 -2.176 9.402
Hg Pt Cl
1 1 2
Direct
0.000 0.000 0.000
0.500 0.500 0.500
0.214 0.214 0.214
0.786 0.786 0.786
```